Density functional theory data (PBE+U) for a geometry-optimized RbCoTeO structure.

Cell lengths 3.7868, 8.2300, 6.5113 Å; angles 90.00, 90.00, 90.00 degrees
With the nearest neighbours (Å) after each atom.
Atoms (fractional coordinates):
Co (0.5000, 0.8856, 0.0589)  2 O 1.88
Co (0.5000, 0.1144, 0.5589)  2 O 1.88
O (0.5000, 0.0025, 0.3071)  2 Co 1.88
O (0.5000, 0.9975, 0.8071)  2 Co 1.88
Rb (0.0000, 0.2131, 0.0626)  4 O 3.02-3.08, 2 Co 3.29
Rb (0.0000, 0.7869, 0.5626)  4 O 3.02-3.08, 2 Co 3.29
Te (0.0000, 0.6628, 0.0624)  2 Co 2.64
Te (0.0000, 0.3372, 0.5624)  2 Co 2.64

As for the crystal system: orthorhombic. Its total energy is -4.212 eV per atom.